Compound: KHg3Pd
Source: Alexandria via LeMat-Bulk
Functional: PBE
Structure: optimized geometry

Summary:
**Energy relative to the elements**: -0.10 eV per atom
**E above lowest polymorph**: 145 meV/atom

a b c (Å): 10.0914 10.0914 10.0914
angles (deg): 60.00 60.00 60.00
Fractional coordinates of all 20 atoms:
K 0.0000 0.0000 0.0000
K 0.0000 0.0000 0.5000
K 0.0000 0.5000 0.0000
K 0.5000 0.0000 0.0000
Hg 0.1807 0.1807 0.5693
Hg 0.1807 0.5693 0.1807
Hg 0.1807 0.5693 0.5693
Hg 0.4307 0.4307 0.8193
Hg 0.4307 0.8193 0.4307
Hg 0.4307 0.8193 0.8193
Hg 0.5693 0.1807 0.1807
Hg 0.5693 0.1807 0.5693
Hg 0.5693 0.5693 0.1807
Hg 0.8193 0.4307 0.4307
Hg 0.8193 0.4307 0.8193
Hg 0.8193 0.8193 0.4307
Pd 0.0000 0.5000 0.5000
Pd 0.5000 0.0000 0.5000
Pd 0.5000 0.5000 0.0000
Pd 0.5000 0.5000 0.5000